Entry 1:
PmAg2Sn, single point on PBEsol structure, DFT SCAN; DOS(E_F) = 1.2 states/eV per cell; energy of formation = -436 meV per atom; space group = Fm-3m
1.0
0.000 3.491 3.491
3.491 0.000 3.491
3.491 3.491 0.000
Pm Ag Sn
1 2 1
direct
0.000 0.000 0.000 Pm
0.250 0.250 0.250 Ag
0.750 0.750 0.750 Ag
0.500 0.500 0.500 Sn



Entry 2:
LiTiBeNb2, single point on PBEsol structure, DFT SCAN; DOS(E_F) = 3.2 states/eV per cell; energy of formation = 1165 meV per atom; space group = P4/mmm
1.0
4.585 0.000 0.000
0.000 4.585 0.000
0.000 0.000 4.636
Li Ti Be Nb
1 1 1 2
direct
0.000 0.000 0.000 Li
0.500 0.500 0.500 Ti
0.500 0.500 0.000 Be
0.000 0.500 0.500 Nb
0.500 0.000 0.500 Nb



Entry 3:
Co2SeBr, single point on PBEsol structure, DFT SCAN; DOS(E_F) = 2.7 states/eV per cell; space group = Pmmm; energy relative to the elements, uncorrected = 0.335 eV/atom
1.0
3.313 0.000 0.000
0.000 3.458 0.000
0.000 0.000 6.135
Co Se Br
2 1 1
direct
0.000 0.000 0.000 Co
0.500 0.000 0.500 Co
0.000 0.500 0.500 Se
0.500 0.500 0.000 Br



> DOS(E_F) of number 3 (Co2SeBr)?

2.7 states/eV per cell



What did the second record say?
LiTiBeNb2, single point on PBEsol structure, DFT SCAN; DOS(E_F) = 3.2 states/eV per cell; energy of formation = 1165 meV per atom; space group = P4/mmm
1.0
4.585 0.000 0.000
0.000 4.585 0.000
0.000 0.000 4.636
Li Ti Be Nb
1 1 1 2
direct
0.000 0.000 0.000 Li
0.500 0.500 0.500 Ti
0.500 0.500 0.000 Be
0.000 0.500 0.500 Nb
0.500 0.000 0.500 Nb



> DOS(E_F) of number 1 (PmAg2Sn)?

1.2 states/eV per cell